[1]
Rb2NbReCl: relaxed, GGA-PBE.

The density of states at the Fermi level is 1.04 states/eV/atom. The formation energy (no corrections) is 1486 meV/atom.

Unit cell a=6.3812 b=6.3812 c=4.9048 alpha=90.00 beta=90.00 gamma=90.00
Last column: nearest neighbours and their distance in Å.
Space group P4/mmm (No. 123)
Asymmetric unit:
1 Rb 0.0000 0.5000 0.0000  2 Cl 3.19
2 Nb 0.0000 0.0000 0.5000  2 Cl 2.45
3 Re 0.5000 0.5000 0.5000  8 Rb 4.02
4 Cl 0.0000 0.0000 0.0000  2 Nb 2.45

[2]
Ac7Pm4Er: relaxed, GGA-PBE.

The value obtained for the total energy is -4.31 eV per atom. The density of states at the Fermi level is 1.77 states/eV/atom.

Unit cell a=6.6583 b=7.6671 c=10.1885 alpha=78.37 beta=71.10 gamma=89.63
Last column: nearest neighbours and their distance in Å.
Space group P-1 (No. 2)
Asymmetric unit:
1 Ac 0.0000 0.0000 0.0000  6 Ac 3.83-3.87, 4 Pm 3.83-3.86, 2 Er 3.83
2 Ac 0.1636 0.4177 0.3360  6 Pm 3.80-3.85, 5 Ac 3.80-3.89, 1 Er 3.85
3 Ac 0.3299 0.8320 0.6667  6 Pm 3.80-3.87, 1 Er 3.82, 5 Ac 3.82-3.89
4 Ac 0.4953 0.2521 0.9983  3 Pm 3.79-3.88, 2 Er 3.79-3.88, 7 Ac 3.81-3.89
5 Pm 0.1674 0.9151 0.3355  9 Ac 3.80-3.88, 3 Pm 3.80-3.88
6 Pm 0.3354 0.3337 0.6675  8 Ac 3.79-3.87, 3 Pm 3.80-3.88, 1 Er 3.86
7 Er 0.0000 0.5000 0.0000  10 Ac 3.79-3.88, 2 Pm 3.86

[3]
LiCuAs2: relaxed, GGA-PBE.

The density of states at the Fermi level is 0.46 states/eV/atom. The energy above the lowest structure with this stoichiometry comes out at 1.41 eV/f.u.

Unit cell a=2.9612 b=2.9612 c=26.3279 alpha=90.00 beta=90.00 gamma=120.00
Last column: nearest neighbours and their distance in Å.
Space group R3m (No. 160, hexagonal axes)
Asymmetric unit:
1 Li 0.0000 0.0000 0.0000  3 Cu 2.73, 3 As 2.73, 6 Li 2.96
2 Cu 0.0000 0.0000 0.7477  3 As 2.58, 3 Li 2.73
3 As 0.0000 0.0000 0.2523  3 Li 2.73, 6 As 2.96
4 As 0.0000 0.0000 0.4877  3 Cu 2.58

[4]
TeWCl2: relaxed, GGA-PBE.

The density of states at the Fermi level is 0.91 states/eV/atom. The energy above the lowest structure with this stoichiometry comes out at 1.17 eV/f.u. The formation energy (no corrections) is 10 meV/atom.

Unit cell a=3.1190 b=5.0392 c=13.4626 alpha=90.00 beta=90.00 gamma=90.00
Last column: nearest neighbours and their distance in Å.
Space group Immm (No. 71)
Asymmetric unit:
1 Te 0.0000 0.0000 0.0000  4 W 2.96, 2 Te 3.12, 4 Cl 3.18
2 W 0.0000 0.0000 0.5000  4 Cl 2.49
3 Cl 0.0000 0.5000 0.1446  2 W 2.49

[5]
Tm4H2N: relaxed, GGA-PBE.

The value obtained for the total energy is -5.25 eV per atom. The density of states at the Fermi level is 0.63 states/eV/atom.

Unit cell a=4.6967 b=4.6967 c=10.8983 alpha=90.00 beta=90.00 gamma=90.00
Last column: nearest neighbours and their distance in Å.
Space group I4/mmm (No. 139)
Asymmetric unit:
1 Tm 0.0000 0.0000 0.2194  1 H 2.15, 1 N 2.39
2 Tm 0.0000 0.5000 0.0000  2 N 2.35, 4 H 2.52
3 H 0.0000 0.0000 0.4171  1 H 1.81
4 N 0.0000 0.0000 0.0000  6 Tm 2.35-2.39

[6]
Li2ZnP2: relaxed, GGA-PBE.

The density of states at the Fermi level is 0.10 states/eV/atom. The energy above the lowest structure with this stoichiometry comes out at 0.00 eV/f.u.

Unit cell a=6.1954 b=6.1954 c=4.1039 alpha=90.00 beta=90.00 gamma=90.00
Last column: nearest neighbours and their distance in Å.
Space group P4/mbm (No. 127)
Asymmetric unit:
1 Li 0.1751 0.3249 0.0000  6 P 2.69-2.79
2 Zn 0.0000 0.0000 0.5000  4 P 2.44
3 P 0.1263 0.6263 0.5000  1 P 2.21, 2 Zn 2.44

[7]
La4GaSI2: relaxed, GGA-PBE.

The density of states at the Fermi level is 0.65 states/eV/atom. The formation energy (no corrections) is -1241 meV/atom.

Unit cell a=7.4098 b=4.3924 c=8.2856 alpha=90.00 beta=108.33 gamma=90.00
Last column: nearest neighbours and their distance in Å.
Space group P2/m (No. 10)
Asymmetric unit:
1 La 0.2242 0.0000 0.1973  2 S 2.92, 1 Ga 2.99
2 La 0.2563 0.5000 0.7967  1 S 2.91, 2 Ga 3.00
3 Ga 0.5000 0.0000 0.0000  6 La 2.99-3.00
4 S 0.0000 0.5000 0.0000  6 La 2.91-2.92
5 I 0.0000 0.0000 0.5000  6 La 3.40-3.42
6 I 0.5000 0.5000 0.5000  6 La 3.47-3.48

[8]
MgAgIrCl6: relaxed, GGA-PBE.

The density of states at the Fermi level is 0.00 states/eV/atom. The formation energy (no corrections) is -909 meV/atom.

Unit cell a=6.3033 b=6.3033 c=12.0567 alpha=90.00 beta=90.00 gamma=120.00
Last column: nearest neighbours and their distance in Å.
Space group P-31c (No. 163)
Asymmetric unit:
1 Mg 0.3333 0.6667 0.2500  6 Cl 2.51
2 Ag 0.0000 0.0000 0.0000  6 Cl 2.80
3 Ir 0.3333 0.6667 0.7500  6 Cl 2.37
4 Cl 0.0174 0.3682 0.6365  1 Ir 2.37, 1 Mg 2.51

[9]
YNiMo: relaxed, GGA-PBE.

The density of states at the Fermi level is 1.49 states/eV/atom. The energy above the lowest structure with this stoichiometry comes out at 0.05 eV/f.u.

Unit cell a=6.2189 b=6.2189 c=6.2189 alpha=90.00 beta=90.00 gamma=90.00
Last column: nearest neighbours and their distance in Å.
Space group F-43m (No. 216)
Asymmetric unit:
1 Y 0.0000 0.0000 0.0000  4 Ni 2.69
2 Ni 0.2500 0.2500 0.7500  4 Mo 2.69, 4 Y 2.69
3 Mo 0.0000 0.0000 0.5000  4 Ni 2.69

[10]
InCu2Br8: relaxed, GGA-PBE.

The density of states at the Fermi level is 0.92 states/eV/atom. The formation energy (no corrections) is -396 meV/atom.

Unit cell a=11.3893 b=11.5643 c=6.6712 alpha=90.00 beta=109.08 gamma=90.00
Last column: nearest neighbours and their distance in Å.
Space group C2/m (No. 12)
Asymmetric unit:
1 In 0.0000 0.0000 0.0000  6 Br 2.68-2.85
2 Cu 0.1938 0.0000 0.6681  4 Br 2.35-2.49
3 Br 0.0755 0.5000 0.1827  1 Br 2.48, 1 Cu 2.49
4 Br 0.1023 0.1561 0.8097  1 Cu 2.43, 1 In 2.68
5 Br 0.2295 0.0000 0.3410  1 Cu 2.35

[11]
YEr4N4: relaxed, GGA-PBE.

The density of states at the Fermi level is 0.27 states/eV/atom. The formation energy (no corrections) is -1559 meV/atom.

Unit cell a=7.7445 b=7.7445 c=4.8564 alpha=90.00 beta=90.00 gamma=90.00
Last column: nearest neighbours and their distance in Å.
Space group I4/m (No. 87)
Asymmetric unit:
1 Y 0.0000 0.0000 0.0000  4 N 2.45
2 Er 0.1091 0.6876 0.5000  5 N 2.33-2.49
3 N 0.0995 0.6997 0.0000  5 Er 2.33-2.49, 1 Y 2.45

[12]
LiLaNd2Hg4: relaxed, GGA-PBE.

The value obtained for the total energy is -2.64 eV per atom. The density of states at the Fermi level is 0.88 states/eV/atom.

Unit cell a=5.2818 b=5.2818 c=26.8705 alpha=90.00 beta=90.00 gamma=120.00
Last column: nearest neighbours and their distance in Å.
Space group R-3m (No. 166, hexagonal axes)
Asymmetric unit:
1 Li 0.0000 0.0000 0.0000  8 Hg 3.20-3.23
2 La 0.0000 0.0000 0.5000  8 Hg 3.31-3.41
3 Nd 0.0000 0.0000 0.2567  7 Hg 3.13-3.26
4 Hg 0.0000 0.0000 0.1191  1 Li 3.20, 3 Nd 3.26, 3 La 3.31
5 Hg 0.0000 0.0000 0.3731  4 Nd 3.13-3.21, 3 Li 3.23, 1 La 3.41